A PBEsol-optimized structure of Er3Sn. Source: the Alexandria database, functional SCAN.

Results
E_form = -1.82 eV per formula unit
DOS at the Fermi energy = 3.57 states/eV/f.u.
V = 103.7 Å³/cell
Electronic total energy = -47.19 eV/atom

a = 4.556 Å, b = 4.556 Å, c = 5.944 Å
α = 112.53°, β = 112.53°, γ = 90.00°
Sites, in units of the cell vectors:
Sn 0.000 0.000 0.000
Er 0.250 0.750 0.500
Er 0.750 0.250 0.500
Er 0.500 0.500 0.000